The following is a DFT calculation (GGA+U) of a geometry-optimized CrNiF6 structure.

Summary:
final energy: -0.179 hartree per atom
magnetization: 4.00 μB/f.u.

Geometry as extended XYZ:
```
8
Lattice="4.5592 0.0000 0.0000 0.0000 4.2138 -2.4328 0.0000 0.0000 4.8657" Properties=species:S:1:pos:R:3 pbc="T T T"
F 1.0884 4.1107 -0.7989
F 1.0884 2.8503 1.5266
F 3.4708 2.8503 -1.5266
Cr 0.0000 2.8092 0.0000
F 1.0884 1.4666 -0.7277
F 3.4708 4.1107 0.7989
F 3.4708 1.4666 0.7277
Ni 2.2796 0.0000 0.0000
```